Crystalline CaMnRh4 at its relaxed geometry, computed with PBE.

Lattice parameters (Å, degrees): 7.4051 7.4051 7.4051 90.00 90.00 90.00
Space group F-43m (No. 216)
Unique sites:
Ca 0.0000 0.0000 0.0000 [4 per cell]
Mn 0.2500 0.2500 0.7500 [4 per cell]
Rh 0.1246 0.1246 0.3754 [16 per cell]

Calculated values
- Energy relative to the elements: -0.103 eV/atom
- Density: 8.29 g cm⁻³
- Uncorrected energy: -164.8 eV/cell
- M_tot: 0.822 μB/atom

---

Crystalline PmSm2ThN4 at its relaxed geometry, computed with PBE.

Lattice parameters (Å, degrees): 6.2499 3.6217 6.2532 90.00 109.37 90.00
Space group P2/m (No. 10)
Unique sites:
Pm 0.0000 0.0000 0.0000 [1 per cell]
Sm 0.5000 0.0000 0.5000 [1 per cell]
Sm 0.5000 0.5000 0.0000 [1 per cell]
Th 0.0000 0.5000 0.5000 [1 per cell]
N 0.2451 0.0000 0.7438 [2 per cell]
N 0.2471 0.5000 0.2553 [2 per cell]

Calculated values
- Density: 9.13 g cm⁻³
- Uncorrected energy: -67.2 eV/cell
- M_tot: 0.000 μB/atom

---

Crystalline ZnCd2Co at its relaxed geometry, computed with PBE.

Lattice parameters (Å, degrees): 5.8257 7.4250 3.0990 90.00 90.00 90.00
Space group Cmmm (No. 65)
Unique sites:
Zn 0.0000 0.0000 0.0000 [2 per cell]
Cd 0.2500 0.2500 0.5000 [4 per cell]
Co 0.0000 0.5000 0.0000 [2 per cell]

Calculated values
- Energy relative to the elements: 0.235 eV/atom
- Density: 8.65 g cm⁻³
- Uncorrected energy: -18.5 eV/cell
- M_tot: 0.312 μB/atom

---

Crystalline YBiIr4 at its relaxed geometry, computed with PBE.

Lattice parameters (Å, degrees): 7.6223 7.6223 7.6223 90.00 90.00 90.00
Space group F-43m (No. 216)
Unique sites:
Y 0.0000 0.0000 0.0000 [4 per cell]
Bi 0.2500 0.2500 0.7500 [4 per cell]
Ir 0.1248 0.1248 0.3752 [16 per cell]

Calculated values
- Energy relative to the elements: -0.268 eV/atom
- Density: 16.00 g cm⁻³
- Uncorrected energy: -189.6 eV/cell
- M_tot: 0.000 μB/atom

---

Crystalline HfTi2Mo2 at its relaxed geometry, computed with PBE.

Lattice parameters (Å, degrees): 7.4425 7.4425 3.1889 90.00 90.00 90.00
Space group P4/mbm (No. 127)
Unique sites:
Hf 0.0000 0.0000 0.0000 [2 per cell]
Ti 0.1334 0.3666 0.0000 [4 per cell]
Mo 0.1542 0.6542 0.5000 [4 per cell]

Calculated values
- Energy relative to the elements: 0.222 eV/atom
- Density: 8.76 g cm⁻³
- Uncorrected energy: -92.6 eV/cell
- Energy above the most stable polymorph in this dataset: 0.075 eV/atom
- M_tot: 0.000 μB/atom

---

Crystalline Mg2B2Ir5Os at its relaxed geometry, computed with PBE.

Lattice parameters (Å, degrees): 9.6961 9.6961 2.8879 90.00 90.00 90.00
Space group P4/mbm (No. 127)
Unique sites:
Mg 0.1782 0.3218 0.0000 [4 per cell]
B 0.1220 0.6220 0.0000 [4 per cell]
Ir 0.0000 0.5000 0.5000 [2 per cell]
Ir 0.0711 0.7780 0.5000 [8 per cell]
Os 0.0000 0.0000 0.0000 [2 per cell]

Calculated values
- Energy relative to the elements: -0.295 eV/atom
- Density: 14.94 g cm⁻³
- Uncorrected energy: -150.0 eV/cell
- M_tot: 0.000 μB/atom

---

Crystalline Th3Ge4Os2 at its relaxed geometry, computed with PBE.

Lattice parameters (Å, degrees): 11.2180 4.3496 8.3505 90.00 104.32 90.00
Space group C2/m (No. 12)
Unique sites:
Th 0.0000 0.0000 0.0000 [2 per cell]
Th 0.1694 0.5000 0.6479 [4 per cell]
Ge 0.0493 0.0000 0.3797 [4 per cell]
Ge 0.2342 0.5000 0.0784 [4 per cell]
Os 0.0995 0.5000 0.2720 [4 per cell]

Calculated values
- Energy relative to the elements: -0.595 eV/atom
- Density: 11.50 g cm⁻³
- Uncorrected energy: -137.1 eV/cell
- Energy above the most stable polymorph in this dataset: 0.000 eV/atom
- M_tot: 0.000 μB/atom

---

Crystalline Th4H3PdRh12 at its relaxed geometry, computed with PBE.

Lattice parameters (Å, degrees): 8.5747 8.5747 8.5747 90.00 90.00 90.00
Space group Im-3m (No. 229)
Unique sites:
Th 0.2500 0.2500 0.2500 [8 per cell]
H 0.0000 0.0000 0.5000 [6 per cell]
Pd 0.0000 0.0000 0.0000 [2 per cell]
Rh 0.0000 0.0000 0.2939 [12 per cell]
Rh 0.0000 0.2500 0.5000 [12 per cell]

Calculated values
- Density: 11.97 g cm⁻³
- Uncorrected energy: -288.0 eV/cell
- M_tot: 0.000 μB/atom

---

Crystalline AlBr3F at its relaxed geometry, computed with PBE.

Lattice parameters (Å, degrees): 5.0012 5.0012 5.0012 90.00 90.00 90.00
Space group Pm-3m (No. 221)
Unique sites:
Al 0.0000 0.0000 0.0000 [1 per cell]
Br 0.0000 0.0000 0.5000 [3 per cell]
F 0.5000 0.5000 0.5000 [1 per cell]

Calculated values
- Density: 3.79 g cm⁻³
- Uncorrected energy: -13.0 eV/cell
- Energy above the most stable polymorph in this dataset: 0.000 eV/atom
- M_tot: 0.194 μB/atom

---

Crystalline Sc2SnOs at its relaxed geometry, computed with PBE.

Lattice parameters (Å, degrees): 7.8311 7.8311 5.6545 90.00 90.00 90.00
Space group I-42d (No. 122)
Unique sites:
Sc 0.1885 0.2500 0.1250 [8 per cell]
Sn 0.0000 0.0000 0.5000 [4 per cell]
Os 0.0000 0.0000 0.0000 [4 per cell]

Calculated values
- Energy relative to the elements: -0.002 eV/atom
- Density: 7.64 g cm⁻³
- Uncorrected energy: -111.6 eV/cell
- M_tot: 0.000 μB/atom

---

Crystalline ThTiGe at its relaxed geometry, computed with PBE.

Lattice parameters (Å, degrees): 5.5995 8.1826 6.0962 90.00 90.00 90.00
Space group Cmcm (No. 63)
Unique sites:
Th 0.0000 0.1569 0.2500 [4 per cell]
Ti 0.0000 0.5000 0.0000 [4 per cell]
Ge 0.0000 0.2119 0.7500 [4 per cell]

Calculated values
- Energy relative to the elements: -0.232 eV/atom
- Density: 8.38 g cm⁻³
- Uncorrected energy: -82.5 eV/cell
- M_tot: 0.539 μB/atom

---

Crystalline LaPm6Nd2Tm at its relaxed geometry, computed with PBE.

Lattice parameters (Å, degrees): 9.2716 15.3796 9.8361 90.00 97.55 90.00
Space group C2/c (No. 15)
Unique sites:
La 0.0000 0.0204 0.2500 [4 per cell]
Pm 0.0656 0.1879 0.9444 [8 per cell]
Pm 0.0991 0.3942 0.1180 [8 per cell]
Pm 0.2092 0.2232 0.3124 [8 per cell]
Nd 0.2488 0.0509 0.5448 [8 per cell]
Tm 0.0000 0.4091 0.7500 [4 per cell]

Calculated values
- Energy relative to the elements: 0.111 eV/atom
- Density: 7.00 g cm⁻³
- Uncorrected energy: -185.3 eV/cell
- M_tot: 0.000 μB/atom